# 1
## Y3TiPb (GGA-PBE)

Data for a relaxed structure of Y3TiPb.

Results
E   -0.4270 Ry/atom
Total magnetization   0.00 μB/f.u.
Energy of formation   0.390 eV per atom

Lattice parameters (Å, degrees): 5.360 5.360 5.360 90.00 90.00 90.00
Space group Pm-3m (No. 221)
Asymmetric unit:
1 Y 0.000 0.000 0.500 (multiplicity 3)
2 Ti 0.000 0.000 0.000 (multiplicity 1)
3 Pb 0.500 0.500 0.500 (multiplicity 1)

# 2
## YTi2Pb2 (GGA-PBE)

Data for a relaxed structure of YTi2Pb2.

Results
E   -0.4217 Ry/atom
Total magnetization   0.92 μB/f.u.
Energy of formation   0.197 eV per atom

Lattice parameters (Å, degrees): 4.773 4.773 10.843 90.00 90.00 90.00
Space group I4/mmm (No. 139)
Asymmetric unit:
1 Y 0.000 0.000 0.000 (multiplicity 2)
2 Ti 0.000 0.000 0.406 (multiplicity 4)
3 Pb 0.000 0.500 0.250 (multiplicity 4)

# 3
## Y3TiPb (GGA-PBE)

Data for a relaxed structure of Y3TiPb.

Results
E   -0.3954 Ry/atom
Total magnetization   0.00 μB/f.u.
Energy of formation   0.820 eV per atom

Lattice parameters (Å, degrees): 5.715 5.715 5.715 90.00 90.00 90.00
Space group Pm-3m (No. 221)
Asymmetric unit:
1 Y 0.000 0.000 0.500 (multiplicity 3)
2 Ti 0.500 0.500 0.500 (multiplicity 1)
3 Pb 0.000 0.000 0.000 (multiplicity 1)

# 4
## YTiPb3 (GGA-PBE)

Data for a relaxed structure of YTiPb3.

Results
E   -0.3617 Ry/atom
Total magnetization   0.00 μB/f.u.
Energy of formation   0.175 eV per atom

Lattice parameters (Å, degrees): 5.372 5.372 5.372 90.00 90.00 90.00
Space group Pm-3m (No. 221)
Asymmetric unit:
1 Y 0.000 0.000 0.000 (multiplicity 1)
2 Ti 0.500 0.500 0.500 (multiplicity 1)
3 Pb 0.000 0.500 0.500 (multiplicity 3)

# 5
## YTi2Pb2 (GGA-PBE)

Data for a relaxed structure of YTi2Pb2.

Results
E   -0.4360 Ry/atom
Total magnetization   1.38 μB/f.u.
Energy of formation   0.002 eV per atom

Lattice parameters (Å, degrees): 8.457 8.457 3.225 90.00 90.00 90.00
Space group P4/mbm (No. 127)
Asymmetric unit:
1 Y 0.000 0.000 0.000 (multiplicity 2)
2 Ti 0.112 0.388 0.000 (multiplicity 4)
3 Pb 0.181 0.681 0.500 (multiplicity 4)

# 6
## YTi2Pb2 (GGA-PBE)

Data for a relaxed structure of YTi2Pb2.

Results
E   -0.4379 Ry/atom
Total magnetization   1.81 μB/f.u.
Energy of formation   -0.024 eV per atom

Lattice parameters (Å, degrees): 8.361 8.361 3.360 90.00 90.00 90.00
Space group P4/mbm (No. 127)
Asymmetric unit:
1 Y 0.000 0.000 0.000 (multiplicity 2)
2 Ti 0.131 0.369 0.500 (multiplicity 4)
3 Pb 0.161 0.661 0.000 (multiplicity 4)

Number 1: polymorph energy (0 for the lowest one) 0.0000 eV per atom. Number 2: polymorph energy (0 for the lowest one) 0.2210 eV per atom. Number 3: polymorph energy (0 for the lowest one) 0.4301 eV per atom. Number 4: polymorph energy (0 for the lowest one) 0.0000 eV per atom. Number 5: polymorph energy (0 for the lowest one) 0.0265 eV per atom. Number 6: polymorph energy (0 for the lowest one) 0.0000 eV per atom.